1.
Here is an optimized crystal structure of ThZrCoCu from the Alexandria database. Energies are from GGA-PBE.

Total DFT energy (no corrections) in eV per atom: -6.850
SG: F-43m (216)

Cell and atoms, written as POSCAR:
```
ThZrCoCu
1.0
0.000 3.387 3.387
3.387 0.000 3.387
3.387 3.387 0.000
Th Zr Co Cu
1 1 1 1
Cartesian
0.000 0.000 0.000
3.387 3.387 3.387
1.694 1.694 1.694
5.081 5.081 5.081
```

2.
Here is an optimized crystal structure of Pm4TlCd2 from the Alexandria database. Energies are from GGA-PBE.

Offset from the most stable computed form in meV/atom: 273
SG: I4/mmm (139)

Cell and atoms, written as POSCAR:
```
Pm4TlCd2
1.0
-2.961 2.961 6.658
2.961 -2.961 6.658
2.961 2.961 -6.658
Pm Tl Cd
4 1 2
Cartesian
2.961 0.000 0.000
2.961 0.000 3.329
0.000 2.961 0.000
0.000 2.961 3.329
0.000 0.000 0.000
0.000 0.000 4.986
0.000 0.000 8.330
```

3.
Here is an optimized crystal structure of SrDyBi2 from the Alexandria database. Energies are from GGA-PBE.

Offset from the most stable computed form in meV/atom: 110
SG: P4/mmm (123)

Cell and atoms, written as POSCAR:
```
SrDyBi2
1.0
6.024 0.000 0.000
0.000 6.024 0.000
0.000 0.000 3.518
Sr Dy Bi
1 1 2
Cartesian
0.000 0.000 0.000
3.012 3.012 0.000
0.000 3.012 1.759
3.012 0.000 1.759
```

4.
Here is an optimized crystal structure of Tc3PdC from the Alexandria database. Energies are from GGA-PBE.

Offset from the most stable computed form in meV/atom: 0
SG: Pm-3m (221)

Cell and atoms, written as POSCAR:
```
Tc3PdC
1.0
4.063 0.000 0.000
0.000 4.063 0.000
0.000 0.000 4.063
Tc Pd C
3 1 1
Cartesian
0.000 0.000 2.031
0.000 2.031 0.000
2.031 0.000 0.000
2.031 2.031 2.031
0.000 0.000 0.000
```

5.
Here is an optimized crystal structure of LiCuW2 from the Alexandria database. Energies are from GGA-PBE.

Offset from the most stable computed form in meV/atom: 0
SG: Cmm2 (35)

Cell and atoms, written as POSCAR:
```
LiCuW2
1.0
1.567 -2.172 0.000
1.567 2.172 0.000
0.000 0.000 8.898
Li Cu W
1 1 2
Cartesian
0.000 0.000 0.000
1.567 0.000 2.104
0.000 0.000 4.238
1.567 0.000 6.504
```

6.
Here is an optimized crystal structure of LaHCN2 from the Alexandria database. Energies are from GGA-PBE.

Offset from the most stable computed form in meV/atom: 0
SG: Cmcm (63)

Cell and atoms, written as POSCAR:
```
LaHCN2
1.0
1.954 -4.442 0.000
1.954 4.442 0.000
0.000 0.000 7.702
La H C N
2 2 2 4
Cartesian
1.954 2.486 5.776
1.954 -2.486 1.925
1.954 3.672 1.925
1.954 -3.672 5.776
1.954 0.000 0.000
1.954 0.000 3.851
1.954 1.172 0.386
1.954 1.172 3.464
1.954 -1.172 4.237
1.954 -1.172 7.315
```

7.
Here is an optimized crystal structure of KNaPuO3 from the Alexandria database. Energies are from GGA-PBE.

SG: P2_1/m (11)
ΔE_f (raw) in eV per atom: -2.126

Cell and atoms, written as POSCAR:
```
KNaPuO3
1.0
7.903 0.000 0.000
0.000 3.635 0.000
-2.369 0.000 8.026
K Na Pu O
2 2 2 6
Cartesian
1.365 0.909 1.756
4.169 2.726 6.270
-1.133 0.909 4.960
6.666 2.726 3.066
0.571 2.726 6.879
4.962 0.909 1.146
-0.762 0.909 7.148
0.184 2.726 4.825
3.394 2.726 1.044
2.140 0.909 6.982
5.350 0.909 3.201
6.295 2.726 0.878
```

8.
Here is an optimized crystal structure of Ac2Pm5Pr6 from the Alexandria database. Energies are from GGA-PBE.

Total DFT energy (no corrections) in eV per atom: -4.569
SG: Pbam (55)

Cell and atoms, written as POSCAR:
```
Ac2Pm5Pr6
1.0
12.258 0.000 0.000
0.000 21.116 0.000
0.000 0.000 3.744
Ac Pm Pr
4 10 12
Cartesian
2.040 4.642 0.000
4.089 15.200 0.000
8.169 5.916 0.000
10.218 16.474 0.000
0.000 10.558 1.872
1.138 16.496 1.872
2.482 1.156 1.872
3.647 11.714 1.872
4.991 5.938 1.872
6.129 0.000 1.872
7.267 15.177 1.872
8.611 9.402 1.872
9.776 19.960 1.872
11.120 4.620 1.872
0.712 19.519 0.000
0.905 13.446 0.000
2.246 7.984 1.872
3.883 18.542 1.872
5.224 2.888 0.000
5.417 8.961 0.000
6.841 12.155 0.000
7.034 18.227 0.000
8.375 2.574 1.872
10.012 13.132 1.872
11.353 7.669 0.000
11.547 1.597 0.000
```